Entry 1:
Below is crystalline YHoAg at its relaxed geometry, with properties calculated at the GGA-PBE level.

Summary:
**Distance to the lowest polymorph of the same formula**: 154 meV/atom
**Final energy**: -4.69 eV per atom
**Crystal system**: monoclinic
**D(E_F)**: 3.2 states/eV/f.u.
**Energy relative to the elements**: -18 kJ/mol of formula units

a b c (Å): 8.844 5.098 7.917
angles (deg): 90.00 111.98 90.00
Space group Cm (No. 8)
Unique sites:
Y  0.000  0.000  0.000
Y  0.166  0.000  0.496
Ho  0.081  0.500  0.744
Ho  0.246  0.500  0.237
Ag  0.305  0.000  0.914
Ag  0.442  0.000  0.323



Entry 2:
Below is crystalline Y2Ho3Ag2 at its relaxed geometry, with properties calculated at the GGA-PBE level.

Summary:
**Distance to the lowest polymorph of the same formula**: 0 meV/atom
**Final energy**: -4.79 eV per atom
**Crystal system**: monoclinic
**D(E_F)**: 7.1 states/eV/f.u.
**Energy relative to the elements**: -115 kJ/mol of formula units

a b c (Å): 29.883 3.592 3.591
angles (deg): 90.00 96.90 90.00
Space group C2/m (No. 12)
Unique sites:
Y  0.208  0.000  0.207
Ho  0.000  0.500  0.500
Ho  0.123  0.500  0.622
Ag  0.062  0.000  0.061



Entry 3:
Below is crystalline YHoAg at its relaxed geometry, with properties calculated at the GGA-PBE level.

Summary:
**Distance to the lowest polymorph of the same formula**: 179 meV/atom
**Final energy**: -4.67 eV per atom
**Crystal system**: trigonal
**D(E_F)**: 2.5 states/eV/f.u.
**Energy relative to the elements**: -11 kJ/mol of formula units

a b c (Å): 5.0434 5.0434 3.6651
angles (deg): 90.00 90.00 120.00
Space group P3m1 (No. 156)
Unique sites:
Y  0.0000  0.0000  0.0000
Ho  0.3333  0.6667  0.5400
Ag  0.6667  0.3333  0.2854



Entry 4:
Below is crystalline Y3HoAg2 at its relaxed geometry, with properties calculated at the GGA-PBE level.

Summary:
**Distance to the lowest polymorph of the same formula**: 231 meV/atom
**Final energy**: -4.92 eV per atom
**Crystal system**: orthorhombic
**D(E_F)**: 8.0 states/eV/f.u.
**Energy relative to the elements**: 12 kJ/mol of formula units

a b c (Å): 7.041 13.965 7.437
angles (deg): 90.00 90.00 90.00
Space group Ibam (No. 72)
Unique sites:
Y  0.000  0.000  0.250
Y  0.000  0.272  0.250
Ho  0.000  0.500  0.000
Ag  0.202  0.141  0.000



Entry 5:
Below is crystalline Y3Ho3Ag2 at its relaxed geometry, with properties calculated at the GGA-PBE level.

Summary:
**Final energy**: -4.92 eV per atom
**Crystal system**: orthorhombic
**D(E_F)**: 10.8 states/eV/f.u.
**Energy relative to the elements**: -54 kJ/mol of formula units

a b c (Å): 5.094 11.509 15.673
angles (deg): 90.00 90.00 90.00
Space group Cmcm (No. 63)
Unique sites:
Y  0.000  0.045  0.110
Y  0.000  0.301  0.250
Ho  0.000  0.355  0.030
Ho  0.000  0.407  0.750
Ag  0.000  0.221  0.626



Entry 6:
Below is crystalline Y4HoAg5 at its relaxed geometry, with properties calculated at the GGA-PBE level.

Summary:
**Final energy**: -4.80 eV per atom
**Crystal system**: tetragonal
**D(E_F)**: 4.6 states/eV/f.u.
**Energy relative to the elements**: -321 kJ/mol of formula units

a b c (Å): 3.611 3.611 18.486
angles (deg): 90.00 90.00 90.00
Space group P4/mmm (No. 123)
Unique sites:
Y  0.000  0.000  0.100
Y  0.000  0.000  0.301
Ho  0.000  0.000  0.500
Ag  0.500  0.500  0.000
Ag  0.500  0.500  0.200
Ag  0.500  0.500  0.402



Entry 7:
Below is crystalline YHoAg2 at its relaxed geometry, with properties calculated at the GGA-PBE level.

Summary:
**Distance to the lowest polymorph of the same formula**: 3 meV/atom
**Final energy**: -4.51 eV per atom
**Crystal system**: cubic
**D(E_F)**: 2.3 states/eV/f.u.
**Energy relative to the elements**: -126 kJ/mol of formula units

a b c (Å): 7.268 7.268 7.268
angles (deg): 90.00 90.00 90.00
Space group Fm-3m (No. 225)
Unique sites:
Y  0.000  0.000  0.000
Ho  0.000  0.000  0.500
Ag  0.250  0.250  0.250



Entry 8:
Below is crystalline YHoAg2 at its relaxed geometry, with properties calculated at the GGA-PBE level.

Summary:
**Distance to the lowest polymorph of the same formula**: 0 meV/atom
**Final energy**: -4.51 eV per atom
**Crystal system**: tetragonal
**D(E_F)**: 2.9 states/eV/f.u.
**Energy relative to the elements**: -127 kJ/mol of formula units

a b c (Å): 3.625 3.625 7.300
angles (deg): 90.00 90.00 90.00
Space group P4/mmm (No. 123)
Unique sites:
Y  0.000  0.000  0.000
Ho  0.000  0.000  0.500
Ag  0.500  0.500  0.256



Entry 9:
Below is crystalline YHo3Ag4 at its relaxed geometry, with properties calculated at the GGA-PBE level.

Summary:
**Final energy**: -4.28 eV per atom
**Crystal system**: orthorhombic
**D(E_F)**: 4.6 states/eV/f.u.
**Energy relative to the elements**: -253 kJ/mol of formula units

a b c (Å): 3.599 5.149 10.297
angles (deg): 90.00 90.00 90.00
Space group Pmmm (No. 47)
Unique sites:
Y  0.000  0.000  0.000
Ho  0.000  0.000  0.500
Ho  0.000  0.500  0.250
Ag  0.500  0.000  0.252
Ag  0.500  0.500  0.000
Ag  0.500  0.500  0.500



Entry 10:
Below is crystalline YHo5Ag4 at its relaxed geometry, with properties calculated at the GGA-PBE level.

Summary:
**Final energy**: -4.33 eV per atom
**Crystal system**: tetragonal
**D(E_F)**: 7.3 states/eV/f.u.
**Energy relative to the elements**: -244 kJ/mol of formula units

a b c (Å): 3.597 3.597 19.623
angles (deg): 90.00 90.00 90.00
Space group P4/mmm (No. 123)
Unique sites:
Y  0.000  0.000  0.000
Ho  0.500  0.500  0.126
Ho  0.500  0.500  0.312
Ho  0.500  0.500  0.500
Ag  0.000  0.000  0.219
Ag  0.000  0.000  0.407



Entry 11:
Below is crystalline YHo3Ag2 at its relaxed geometry, with properties calculated at the GGA-PBE level.

Summary:
**Distance to the lowest polymorph of the same formula**: 0 meV/atom
**Final energy**: -4.52 eV per atom
**Crystal system**: tetragonal
**D(E_F)**: 5.3 states/eV/f.u.
**Energy relative to the elements**: -118 kJ/mol of formula units

a b c (Å): 3.605 3.605 12.246
angles (deg): 90.00 90.00 90.00
Space group P4/mmm (No. 123)
Unique sites:
Y  0.000  0.000  0.000
Ho  0.500  0.500  0.203
Ho  0.500  0.500  0.500
Ag  0.000  0.000  0.351



Entry 12:
Below is crystalline Y2Ho3Ag2 at its relaxed geometry, with properties calculated at the GGA-PBE level.

Summary:
**Distance to the lowest polymorph of the same formula**: 57 meV/atom
**Final energy**: -4.74 eV per atom
**Crystal system**: trigonal
**D(E_F)**: 8.1 states/eV/f.u.
**Energy relative to the elements**: -77 kJ/mol of formula units

a b c (Å): 5.3344 5.3344 23.1002
angles (deg): 90.00 90.00 120.00
Space group R-3m (No. 166, hexagonal axes)
Unique sites:
Y  0.0000  0.0000  0.0764
Ho  0.0000  0.0000  0.3396
Ho  0.0000  0.0000  0.5000
Ag  0.0000  0.0000  0.2129



Entry 13:
Below is crystalline YHoZnAg at its relaxed geometry, with properties calculated at the GGA-PBE level.

Summary:
**Distance to the lowest polymorph of the same formula**: 0 meV/atom
**Final energy**: -4.14 eV per atom
**Crystal system**: tetragonal
**D(E_F)**: 3.3 states/eV/f.u.
**Energy relative to the elements**: -133 kJ/mol of formula units

a b c (Å): 3.598 3.598 7.192
angles (deg): 90.00 90.00 90.00
Space group P4mm (No. 99)
Unique sites:
Y  0.000  0.000  0.000
Ho  0.000  0.000  0.486
Zn  0.500  0.500  0.247
Ag  0.500  0.500  0.737



Entry 14:
Below is crystalline YHoZnAg at its relaxed geometry, with properties calculated at the GGA-PBE level.

Summary:
**Distance to the lowest polymorph of the same formula**: 14 meV/atom
**Final energy**: -4.12 eV per atom
**Crystal system**: cubic
**D(E_F)**: 3.2 states/eV/f.u.
**Energy relative to the elements**: -128 kJ/mol of formula units

a b c (Å): 7.204 7.204 7.204
angles (deg): 90.00 90.00 90.00
Space group F-43m (No. 216)
Unique sites:
Y  0.000  0.000  0.000
Ho  0.000  0.000  0.500
Zn  0.250  0.250  0.750
Ag  0.250  0.250  0.250



Entry 15:
Below is crystalline Ho2Zn2Ag at its relaxed geometry, with properties calculated at the GGA-PBE level.

Summary:
**Distance to the lowest polymorph of the same formula**: 0 meV/atom
**Final energy**: -3.21 eV per atom
**Crystal system**: tetragonal
**D(E_F)**: 4.8 states/eV/f.u.
**Energy relative to the elements**: -145 kJ/mol of formula units

a b c (Å): 7.265 7.265 8.285
angles (deg): 90.00 90.00 90.00
Space group P4/mnc (No. 128)
Unique sites:
Ho  0.171  0.329  0.000
Zn  0.127  0.627  0.250
Ag  0.000  0.000  0.250



Entry 16:
Below is crystalline HoZn2Ag9 at its relaxed geometry, with properties calculated at the GGA-PBE level.

Summary:
**Final energy**: -2.77 eV per atom
**Crystal system**: tetragonal
**D(E_F)**: 4.5 states/eV/f.u.
**Energy relative to the elements**: -45 kJ/mol of formula units

a b c (Å): 11.230 11.230 7.172
angles (deg): 90.00 90.00 90.00
Space group I4_1/amd (No. 141, origin choice 2)
Unique sites:
Ho  0.000  0.250  0.375
Zn  0.000  0.000  0.000
Ag  0.000  0.250  0.875
Ag  0.122  0.052  0.677



Entry 17:
Below is crystalline Ho8Zn2Ag at its relaxed geometry, with properties calculated at the GGA-PBE level.

Summary:
**Final energy**: -3.95 eV per atom
**Crystal system**: monoclinic
**D(E_F)**: 11.0 states/eV/f.u.
**Energy relative to the elements**: -143 kJ/mol of formula units

a b c (Å): 17.673 5.068 6.908
angles (deg): 90.00 107.09 90.00
Space group C2/m (No. 12)
Unique sites:
Ho  0.028  0.000  0.272
Ho  0.092  0.500  0.961
Ho  0.168  0.500  0.471
Ho  0.198  0.000  0.816
Zn  0.185  0.000  0.217
Ag  0.000  0.500  0.500



Entry 18:
Below is crystalline HoZnAg2 at its relaxed geometry, with properties calculated at the GGA-PBE level.

Summary:
**Final energy**: -3.01 eV per atom
**Crystal system**: tetragonal
**D(E_F)**: 2.2 states/eV/f.u.
**Energy relative to the elements**: -47 kJ/mol of formula units

a b c (Å): 4.384 4.384 4.284
angles (deg): 90.00 90.00 90.00
Space group P4/mmm (No. 123)
Unique sites:
Ho  0.000  0.000  0.000
Zn  0.500  0.500  0.000
Ag  0.000  0.500  0.500



Entry 19:
Below is crystalline Ho6ZnAg5 at its relaxed geometry, with properties calculated at the GGA-PBE level.

Summary:
**Final energy**: -3.91 eV per atom
**Crystal system**: orthorhombic
**D(E_F)**: 7.2 states/eV/f.u.
**Energy relative to the elements**: -383 kJ/mol of formula units

a b c (Å): 5.114 15.317 7.196
angles (deg): 90.00 90.00 90.00
Space group Cmmm (No. 65)
Unique sites:
Ho  0.000  0.000  0.248
Ho  0.000  0.334  0.249
Zn  0.000  0.500  0.000
Ag  0.000  0.165  0.000
Ag  0.000  0.167  0.500
Ag  0.000  0.500  0.500



Entry 20:
Below is crystalline Ho2Zn2Ag at its relaxed geometry, with properties calculated at the GGA-PBE level.

Summary:
**Distance to the lowest polymorph of the same formula**: 6 meV/atom
**Final energy**: -3.21 eV per atom
**Crystal system**: monoclinic
**D(E_F)**: 3.9 states/eV/f.u.
**Energy relative to the elements**: -142 kJ/mol of formula units

a b c (Å): 10.236 4.550 10.443
angles (deg): 90.00 115.22 90.00
Space group C2/m (No. 12)
Unique sites:
Ho  0.011  0.000  0.330
Ho  0.190  0.000  0.106
Zn  0.022  0.500  0.889
Zn  0.136  0.500  0.569
Ag  0.224  0.500  0.345



Entry 21:
Below is crystalline HoZn12Ag7 at its relaxed geometry, with properties calculated at the GGA-PBE level.

Summary:
**Final energy**: -1.76 eV per atom
**Crystal system**: cubic
**D(E_F)**: 5.3 states/eV/f.u.
**Energy relative to the elements**: 449 kJ/mol of formula units

a b c (Å): 9.434 9.434 9.434
angles (deg): 90.00 90.00 90.00
Space group Im-3 (No. 204)
Unique sites:
Ho  0.000  0.000  0.000
Zn  0.000  0.355  0.248
Ag  0.000  0.000  0.500
Ag  0.250  0.250  0.250



Entry 22:
Below is crystalline Ho2Zn12Ag5 at its relaxed geometry, with properties calculated at the GGA-PBE level.

Summary:
**Final energy**: -2.20 eV per atom
**Crystal system**: trigonal
**D(E_F)**: 8.1 states/eV/f.u.
**Energy relative to the elements**: -304 kJ/mol of formula units

a b c (Å): 9.1985 9.1985 13.3786
angles (deg): 90.00 90.00 120.00
Space group R-3m (No. 166, hexagonal axes)
Unique sites:
Ho  0.0000  0.0000  0.1583
Zn  0.0000  0.3049  0.5000
Zn  0.0150  0.5075  0.6543
Ag  0.0000  0.0000  0.3960
Ag  0.0000  0.5000  0.0000